This record from Alexandria via LeMat-Bulk describes Li2Fe2Mo3O12 after structural relaxation. The functional is GGA+U.

Cell lengths 13.1839, 9.6508, 9.4998 Å; angles 90.00, 90.00, 90.00 degrees
Last column: nearest neighbours and their distance in Å.
Atoms (fractional coordinates):
Li 0.1899 0.2232 0.2350  4 O 1.98-2.02
Li 0.1899 0.7768 0.7350  4 O 1.98-2.02
Li 0.3101 0.2768 0.7350  4 O 1.98-2.02
Li 0.3101 0.7232 0.2350  4 O 1.98-2.02
Li 0.6899 0.2768 0.7650  4 O 1.98-2.02
Li 0.6899 0.7232 0.2650  4 O 1.98-2.02
Li 0.8101 0.2232 0.2650  4 O 1.98-2.02
Li 0.8101 0.7768 0.7650  4 O 1.98-2.02
Fe 0.1222 0.2533 0.5355  6 O 2.05-2.21
Fe 0.1222 0.7467 0.0355  6 O 2.05-2.21
Fe 0.3778 0.2467 0.0355  6 O 2.05-2.21
Fe 0.3778 0.7533 0.5355  6 O 2.05-2.21
Fe 0.6222 0.2467 0.4645  6 O 2.05-2.21
Fe 0.6222 0.7533 0.9645  6 O 2.05-2.21
Fe 0.8778 0.2533 0.9645  6 O 2.05-2.21
Fe 0.8778 0.7467 0.4645  6 O 2.05-2.21
Mo 0.0000 0.4636 0.2500  4 O 1.78-1.81
Mo 0.0000 0.5364 0.7500  4 O 1.78-1.81
Mo 0.1433 0.0965 0.8999  4 O 1.77-1.82
Mo 0.1433 0.9035 0.3999  4 O 1.77-1.82
Mo 0.3567 0.4035 0.3999  4 O 1.77-1.82
Mo 0.3567 0.5965 0.8999  4 O 1.77-1.82
Mo 0.5000 0.0364 0.7500  4 O 1.78-1.81
Mo 0.5000 0.9636 0.2500  4 O 1.78-1.81
Mo 0.6433 0.4035 0.1001  4 O 1.77-1.82
Mo 0.6433 0.5965 0.6001  4 O 1.77-1.82
Mo 0.8567 0.0965 0.6001  4 O 1.77-1.82
Mo 0.8567 0.9035 0.1001  4 O 1.77-1.82
O 0.0153 0.1399 0.9339  1 Mo 1.77
O 0.0153 0.8601 0.4339  1 Mo 1.77
O 0.0638 0.4300 0.6248  1 Mo 1.78
O 0.0638 0.5700 0.1248  1 Mo 1.78
O 0.0934 0.3529 0.3324  1 Mo 1.81, 1 Li 2.01
O 0.0934 0.6471 0.8324  1 Mo 1.81, 1 Li 2.01
O 0.1623 0.0903 0.3943  1 Mo 1.82, 1 Li 2.02
O 0.1623 0.9097 0.8943  1 Mo 1.82, 1 Li 2.02
O 0.1796 0.1713 0.7341  1 Mo 1.80, 1 Li 2.00
O 0.1796 0.8287 0.2341  1 Mo 1.80, 1 Li 2.00
O 0.2201 0.1703 0.0382  1 Mo 1.81, 1 Li 1.98
O 0.2201 0.8297 0.5382  1 Mo 1.81, 1 Li 1.98
O 0.2799 0.3297 0.5382  1 Mo 1.81, 1 Li 1.98
O 0.2799 0.6703 0.0382  1 Mo 1.81, 1 Li 1.98
O 0.3204 0.3287 0.2341  1 Mo 1.80, 1 Li 2.00
O 0.3204 0.6713 0.7341  1 Mo 1.80, 1 Li 2.00
O 0.3377 0.4097 0.8943  1 Mo 1.82, 1 Li 2.02
O 0.3377 0.5903 0.3943  1 Mo 1.82, 1 Li 2.02
O 0.4066 0.1471 0.8324  1 Mo 1.81, 1 Li 2.01
O 0.4066 0.8529 0.3324  1 Mo 1.81, 1 Li 2.01
O 0.4362 0.0700 0.1248  1 Mo 1.78
O 0.4362 0.9300 0.6248  1 Mo 1.78
O 0.4847 0.3601 0.4339  1 Mo 1.77
O 0.4847 0.6399 0.9339  1 Mo 1.77
O 0.5153 0.3601 0.0661  1 Mo 1.77
O 0.5153 0.6399 0.5661  1 Mo 1.77
O 0.5638 0.0700 0.3752  1 Mo 1.78
O 0.5638 0.9300 0.8752  1 Mo 1.78
O 0.5934 0.1471 0.6676  1 Mo 1.81, 1 Li 2.01
O 0.5934 0.8529 0.1676  1 Mo 1.81, 1 Li 2.01
O 0.6623 0.4097 0.6057  1 Mo 1.82, 1 Li 2.02
O 0.6623 0.5903 0.1057  1 Mo 1.82, 1 Li 2.02
O 0.6796 0.3287 0.2659  1 Mo 1.80, 1 Li 2.00
O 0.6796 0.6713 0.7659  1 Mo 1.80, 1 Li 2.00
O 0.7201 0.3297 0.9618  1 Mo 1.81, 1 Li 1.98
O 0.7201 0.6703 0.4618  1 Mo 1.81, 1 Li 1.98
O 0.7799 0.1703 0.4618  1 Mo 1.81, 1 Li 1.98
O 0.7799 0.8297 0.9618  1 Mo 1.81, 1 Li 1.98
O 0.8204 0.1713 0.7659  1 Mo 1.80, 1 Li 2.00
O 0.8204 0.8287 0.2659  1 Mo 1.80, 1 Li 2.00
O 0.8377 0.0903 0.1057  1 Mo 1.82, 1 Li 2.02
O 0.8377 0.9097 0.6057  1 Mo 1.82, 1 Li 2.02
O 0.9066 0.3529 0.1676  1 Mo 1.81, 1 Li 2.01
O 0.9066 0.6471 0.6676  1 Mo 1.81, 1 Li 2.01
O 0.9362 0.4300 0.8752  1 Mo 1.78
O 0.9362 0.5700 0.3752  1 Mo 1.78
O 0.9847 0.1399 0.5661  1 Mo 1.77
O 0.9847 0.8601 0.0661  1 Mo 1.77

Values from the calculation:
The space-group type is Pbcn, No. 60. For the total energy, the calculation gives -6.770 eV/atom. The mass density comes out at 3.33 Mg/m³.